(1)
{"formula": "K2SiPb", "functional": "PBEsol", "state": "relaxed", "lattice_angstrom": [[-1.985, 3.454, 1.952], [-4.420, 0.098, 0.373], [-1.530, -3.165, 9.086]], "species": ["K", "K", "Pb", "Si"], "frac_coords": [[0.967, 0.967, 0.099], [0.778, 0.778, 0.667], [0.526, 0.526, 0.421], [0.229, 0.229, 0.314]], "formation_energy_uncorrected_mev_per_atom": 49.0, "crystal_system": "trigonal", "density_g_cm3": 3.2, "total_energy_ev_per_atom": -2.95}

(2)
{"formula": "KSi3Pb", "functional": "PBEsol", "state": "relaxed", "lattice_angstrom": [[5.410, 0.000, 0.000], [0.000, 5.410, 0.000], [0.000, 0.000, 5.410]], "species": ["Pb", "K", "Si", "Si", "Si"], "frac_coords": [[0.000, 0.000, 0.000], [0.500, 0.500, 0.500], [0.000, 0.500, 0.000], [0.000, 0.000, 0.500], [0.500, 0.000, 0.000]], "formation_energy_uncorrected_mev_per_atom": 1114.7, "crystal_system": "cubic", "density_g_cm3": 3.5, "total_energy_ev_per_atom": -3.36}